one:
A plane-wave DFT calculation with PBE was carried out for crystalline LuCoRePb at its relaxed geometry.

Cell and atoms, written as CIF:
```
data_LuCoRePb
_space_group_name_H-M_alt 'P 1'
_space_group_IT_number 1
_space_group_name_Hall 'P 1'
_cell_length_a 6.613
_cell_length_b 6.613
_cell_length_c 6.613
_cell_angle_alpha 90.00
_cell_angle_beta 90.00
_cell_angle_gamma 90.00
loop_
_atom_site_label
_atom_site_fract_x
_atom_site_fract_y
_atom_site_fract_z
Lu1 0.000 0.000 0.000
Lu2 0.000 0.500 0.500
Lu3 0.500 0.000 0.500
Lu4 0.500 0.500 0.000
Co1 0.250 0.250 0.750
Co2 0.250 0.750 0.250
Co3 0.750 0.250 0.250
Co4 0.750 0.750 0.750
Re1 0.250 0.250 0.250
Re2 0.250 0.750 0.750
Re3 0.750 0.250 0.750
Re4 0.750 0.750 0.250
Pb1 0.000 0.000 0.500
Pb2 0.000 0.500 0.000
Pb3 0.500 0.000 0.000
Pb4 0.500 0.500 0.500
```

Properties
SG	F-43m, No. 216
total magnetization	0.682	μB per formula unit

=====

two:
A plane-wave DFT calculation with PBE was carried out for crystalline LuCoRePb at its relaxed geometry.

Cell and atoms, written as CIF:
```
data_LuCoRePb
_space_group_name_H-M_alt 'P 1'
_space_group_IT_number 1
_space_group_name_Hall 'P 1'
_cell_length_a 6.687
_cell_length_b 6.687
_cell_length_c 6.687
_cell_angle_alpha 90.00
_cell_angle_beta 90.00
_cell_angle_gamma 90.00
loop_
_atom_site_label
_atom_site_fract_x
_atom_site_fract_y
_atom_site_fract_z
Lu1 0.000 0.000 0.000
Lu2 0.000 0.500 0.500
Lu3 0.500 0.000 0.500
Lu4 0.500 0.500 0.000
Co1 0.000 0.000 0.500
Co2 0.000 0.500 0.000
Co3 0.500 0.000 0.000
Co4 0.500 0.500 0.500
Re1 0.250 0.250 0.750
Re2 0.250 0.750 0.250
Re3 0.750 0.250 0.250
Re4 0.750 0.750 0.750
Pb1 0.250 0.250 0.250
Pb2 0.250 0.750 0.750
Pb3 0.750 0.250 0.750
Pb4 0.750 0.750 0.250
```

Properties
SG	F-43m, No. 216
total magnetization	3.451	μB per formula unit

=====

The most stable of them is one.

=====

one:
A plane-wave DFT calculation with PBE was carried out for crystalline LuCoTcPb at its relaxed geometry.

Cell and atoms, written as CIF:
```
data_LuCoTcPb
_space_group_name_H-M_alt 'P 1'
_space_group_IT_number 1
_space_group_name_Hall 'P 1'
_cell_length_a 6.704
_cell_length_b 6.704
_cell_length_c 6.704
_cell_angle_alpha 90.00
_cell_angle_beta 90.00
_cell_angle_gamma 90.00
loop_
_atom_site_label
_atom_site_fract_x
_atom_site_fract_y
_atom_site_fract_z
Lu1 0.000 0.000 0.000
Lu2 0.000 0.500 0.500
Lu3 0.500 0.000 0.500
Lu4 0.500 0.500 0.000
Co1 0.000 0.000 0.500
Co2 0.000 0.500 0.000
Co3 0.500 0.000 0.000
Co4 0.500 0.500 0.500
Tc1 0.250 0.250 0.750
Tc2 0.250 0.750 0.250
Tc3 0.750 0.250 0.250
Tc4 0.750 0.750 0.750
Pb1 0.250 0.250 0.250
Pb2 0.250 0.750 0.750
Pb3 0.750 0.250 0.750
Pb4 0.750 0.750 0.250
```

Properties
SG	F-43m, No. 216
total magnetization	3.727	μB per formula unit

=====

two:
A plane-wave DFT calculation with PBE was carried out for crystalline LuCoTcPb at its relaxed geometry.

Cell and atoms, written as CIF:
```
data_LuCoTcPb
_space_group_name_H-M_alt 'P 1'
_space_group_IT_number 1
_space_group_name_Hall 'P 1'
_cell_length_a 6.586
_cell_length_b 6.586
_cell_length_c 6.586
_cell_angle_alpha 90.00
_cell_angle_beta 90.00
_cell_angle_gamma 90.00
loop_
_atom_site_label
_atom_site_fract_x
_atom_site_fract_y
_atom_site_fract_z
Lu1 0.000 0.000 0.000
Lu2 0.000 0.500 0.500
Lu3 0.500 0.000 0.500
Lu4 0.500 0.500 0.000
Co1 0.250 0.250 0.750
Co2 0.250 0.750 0.250
Co3 0.750 0.250 0.250
Co4 0.750 0.750 0.750
Tc1 0.250 0.250 0.250
Tc2 0.250 0.750 0.750
Tc3 0.750 0.250 0.750
Tc4 0.750 0.750 0.250
Pb1 0.000 0.000 0.500
Pb2 0.000 0.500 0.000
Pb3 0.500 0.000 0.000
Pb4 0.500 0.500 0.500
```

Properties
SG	F-43m, No. 216
total magnetization	0.663	μB per formula unit

=====

The most stable of them is two.

=====

one:
A plane-wave DFT calculation with PBE was carried out for crystalline LuCoSiPd at its relaxed geometry.

Cell and atoms, written as CIF:
```
data_LuCoSiPd
_space_group_name_H-M_alt 'P 1'
_space_group_IT_number 1
_space_group_name_Hall 'P 1'
_cell_length_a 6.366
_cell_length_b 6.366
_cell_length_c 6.366
_cell_angle_alpha 90.00
_cell_angle_beta 90.00
_cell_angle_gamma 90.00
loop_
_atom_site_label
_atom_site_fract_x
_atom_site_fract_y
_atom_site_fract_z
Lu1 0.000 0.000 0.000
Lu2 0.000 0.500 0.500
Lu3 0.500 0.000 0.500
Lu4 0.500 0.500 0.000
Co1 0.000 0.000 0.500
Co2 0.000 0.500 0.000
Co3 0.500 0.000 0.000
Co4 0.500 0.500 0.500
Si1 0.250 0.250 0.250
Si2 0.250 0.750 0.750
Si3 0.750 0.250 0.750
Si4 0.750 0.750 0.250
Pd1 0.250 0.250 0.750
Pd2 0.250 0.750 0.250
Pd3 0.750 0.250 0.250
Pd4 0.750 0.750 0.750
```

Properties
SG	F-43m, No. 216
total magnetization	0.007	μB per formula unit

=====

two:
A plane-wave DFT calculation with PBE was carried out for crystalline LuCoSiPd at its relaxed geometry.

Cell and atoms, written as CIF:
```
data_LuCoSiPd
_space_group_name_H-M_alt 'P 1'
_space_group_IT_number 1
_space_group_name_Hall 'P 1'
_cell_length_a 6.258
_cell_length_b 6.258
_cell_length_c 6.258
_cell_angle_alpha 90.00
_cell_angle_beta 90.00
_cell_angle_gamma 90.00
loop_
_atom_site_label
_atom_site_fract_x
_atom_site_fract_y
_atom_site_fract_z
Lu1 0.000 0.000 0.000
Lu2 0.000 0.500 0.500
Lu3 0.500 0.000 0.500
Lu4 0.500 0.500 0.000
Co1 0.250 0.250 0.750
Co2 0.250 0.750 0.250
Co3 0.750 0.250 0.250
Co4 0.750 0.750 0.750
Si1 0.000 0.000 0.500
Si2 0.000 0.500 0.000
Si3 0.500 0.000 0.000
Si4 0.500 0.500 0.500
Pd1 0.250 0.250 0.250
Pd2 0.250 0.750 0.750
Pd3 0.750 0.250 0.750
Pd4 0.750 0.750 0.250
```

Properties
SG	F-43m, No. 216
total magnetization	0.690	μB per formula unit

=====

The most stable of them is two.